Material: V3GeH3
Method: DFT, PBE-GGA
State: optimized geometry

Summary:
Size of the total moment (μB per cell): 0.00
Space-group type: Pm-3n, No. 223
Energy above the most stable polymorph in this dataset (meV/atom): 0
Volume (Å³/f.u.): 62
Raw total energy (eV/atom): -6.217

Cell: 4.9956 4.9956 4.9956 Å, 90.00 90.00 90.00°
Positions (direct):
V  0.2500  0.5000  0.0000
V  0.7500  0.5000  0.0000
V  0.0000  0.7500  0.5000
V  0.5000  0.0000  0.7500
V  0.0000  0.2500  0.5000
V  0.5000  0.0000  0.2500
H  0.7500  0.0000  0.5000
H  0.5000  0.7500  0.0000
H  0.0000  0.5000  0.2500
H  0.5000  0.2500  0.0000
H  0.0000  0.5000  0.7500
H  0.2500  0.0000  0.5000
Ge  0.0000  0.0000  0.0000
Ge  0.5000  0.5000  0.5000